1.
The following is a DFT calculation (GGA-PBE) of a relaxed TbYMgHg crystal.

a b c (Å): 5.312 5.312 5.312
angles (deg): 60.00 60.00 60.00
Atoms (fractional coordinates):
Y (0.750, 0.750, 0.750)
Mg (0.000, 0.000, 0.000)
Hg (0.500, 0.500, 0.500)
Tb (0.250, 0.250, 0.250)

Calculated values
Energy above the lowest structure with this stoichiometry (meV/atom): 17
DOS(E_F) (states/eV/cell): 4.5
Formation enthalpy at 0 K (meV per atom): -279
Symmetry: F-43m

2.
The following is a DFT calculation (GGA-PBE) of a relaxed TbYMg2Hg4 crystal.

a b c (Å): 5.077 5.077 8.812
angles (deg): 73.26 73.26 60.00
Atoms (fractional coordinates):
Hg (0.125, 0.125, 0.626)
Hg (0.375, 0.375, 0.874)
Hg (0.625, 0.625, 0.126)
Hg (0.875, 0.875, 0.374)
Mg (0.750, 0.750, 0.750)
Mg (0.250, 0.250, 0.250)
Y (0.000, 0.000, 0.000)
Tb (0.500, 0.500, 0.500)

Calculated values
DOS(E_F) (states/eV/cell): 2.3
Formation enthalpy at 0 K (meV per atom): -467
Symmetry: R-3m

3.
The following is a DFT calculation (GGA-PBE) of a relaxed TbYMgHg crystal.

a b c (Å): 3.789 3.789 7.402
angles (deg): 90.00 90.00 90.00
Atoms (fractional coordinates):
Tb (0.000, 0.000, 0.352)
Y (0.000, 0.000, 0.860)
Hg (0.500, 0.500, 0.108)
Mg (0.500, 0.500, 0.607)

Calculated values
Energy above the lowest structure with this stoichiometry (meV/atom): 0
DOS(E_F) (states/eV/cell): 4.6
Formation enthalpy at 0 K (meV per atom): -296
Symmetry: P4mm

4.
The following is a DFT calculation (GGA-PBE) of a relaxed TbMg2ZnHg4 crystal.

a b c (Å): 4.885 4.885 9.055
angles (deg): 74.35 74.35 60.00
Atoms (fractional coordinates):
Hg (0.617, 0.617, 0.149)
Hg (0.126, 0.126, 0.621)
Hg (0.874, 0.874, 0.379)
Hg (0.383, 0.383, 0.851)
Mg (0.246, 0.246, 0.262)
Mg (0.754, 0.754, 0.738)
Tb (0.000, 0.000, 0.000)
Zn (0.500, 0.500, 0.500)

Calculated values
DOS(E_F) (states/eV/cell): 4.3
Formation enthalpy at 0 K (meV per atom): -236
Symmetry: R-3m

5.
The following is a DFT calculation (GGA-PBE) of a relaxed Tb4MgZnHg2 crystal.

a b c (Å): 5.257 5.257 9.074
angles (deg): 73.16 73.16 60.00
Atoms (fractional coordinates):
Tb (0.618, 0.618, 0.146)
Tb (0.131, 0.131, 0.608)
Tb (0.869, 0.869, 0.392)
Tb (0.382, 0.382, 0.854)
Mg (0.000, 0.000, 0.000)
Hg (0.741, 0.741, 0.776)
Hg (0.259, 0.259, 0.224)
Zn (0.500, 0.500, 0.500)

Calculated values
DOS(E_F) (states/eV/cell): 9.1
Formation enthalpy at 0 K (meV per atom): -344
Symmetry: R-3m

6.
The following is a DFT calculation (GGA-PBE) of a relaxed TbMgZnHg crystal.

a b c (Å): 4.975 4.975 4.975
angles (deg): 60.00 60.00 60.00
Atoms (fractional coordinates):
Zn (0.250, 0.250, 0.250)
Mg (0.000, 0.000, 0.000)
Hg (0.750, 0.750, 0.750)
Tb (0.500, 0.500, 0.500)

Calculated values
DOS(E_F) (states/eV/cell): 1.9
Formation enthalpy at 0 K (meV per atom): -387
Symmetry: F-43m